# 1
A geometry-optimized AcVP2S8 structure, computed with PBE.

```
AcVP2S8
1.0
-2.181 5.582 -2.485
-2.999 -5.575 -1.421
-5.029 1.005 6.671
Ac V P S
1 1 2 8
direct
0.000 0.000 0.500
0.000 0.000 0.000
0.333 0.667 0.734
0.667 0.333 0.266
0.157 0.314 0.800
0.157 0.843 0.800
0.686 0.843 0.800
0.314 0.157 0.200
0.667 0.333 0.505
0.333 0.667 0.495
0.843 0.686 0.200
0.843 0.157 0.200
```

Results
Raw formation energy   -0.57 eV per atom
VASP energy   -63.87 eV/cell
Crystal system   trigonal
Space-group type   P-3m1 (164)
N(E_F)   4.5 states/eV/cell

# 2
A geometry-optimized Mn2MoP structure, computed with PBE.

```
Mn2MoP
1.0
6.539 0.000 0.000
0.000 6.539 0.000
3.269 3.269 2.486
P Mo Mn
2 2 4
direct
0.500 0.500 0.000
0.250 0.750 0.500
0.000 0.000 0.000
0.750 0.250 0.500
0.561 0.125 0.250
0.189 0.625 0.250
0.375 0.439 0.750
0.875 0.811 0.750
```

Results
Energy of formation   1.2 eV/f.u.
VASP energy   -66.75 eV/cell
Crystal system   tetragonal
Space-group type   I-42d (122)
N(E_F)   13.5 states/eV/cell

# 3
A geometry-optimized Er8As3PSe3 structure, computed with PBE.

```
Er8As3PSe3
1.0
8.056 0.000 0.000
-4.028 6.976 -0.024
0.000 -4.628 6.609
Er As P Se
8 3 1 3
direct
0.246 0.491 0.237
0.754 0.509 0.763
0.757 0.514 0.251
0.243 0.486 0.749
0.757 0.994 0.252
0.243 0.006 0.748
0.237 0.994 0.252
0.763 0.006 0.748
0.000 0.000 0.000
0.000 0.500 0.000
0.500 0.500 0.000
0.000 0.000 0.500
0.500 0.000 0.500
0.500 0.500 0.500
0.000 0.500 0.500
```

Results
Raw formation energy   -1.53 eV per atom
VASP energy   -89.30 eV/cell
Crystal system   trigonal
Space-group type   R-3m (166)
N(E_F)   6.4 states/eV/cell

# 4
A geometry-optimized V2B2S structure, computed with PBE.

```
V2B2S
1.0
-2.644 5.356 -0.573
-4.694 -1.978 3.171
1.338 0.935 2.564
S B V
2 4 4
direct
0.000 0.000 0.000
0.500 0.500 0.000
0.098 0.598 0.500
0.598 0.902 0.500
0.902 0.402 0.500
0.402 0.098 0.500
0.320 0.820 0.000
0.820 0.680 0.000
0.680 0.180 0.000
0.180 0.320 0.000
```

Results
Raw formation energy   -0.17 eV per atom
VASP energy   -73.17 eV/cell
Polymorph energy (0 for the lowest one)   64 meV per atom
Crystal system   tetragonal
Space-group type   P4/mbm (127)
N(E_F)   7.3 states/eV/cell

# 5
A geometry-optimized CeHo2ThCo2 structure, computed with PBE.

```
CeHo2ThCo2
1.0
-2.372 -4.922 4.265
-1.140 -4.207 -5.489
7.328 2.348 1.153
Ce Ho Th Co
2 4 2 4
direct
0.750 0.500 0.000
0.250 0.500 0.000
0.704 0.898 0.409
0.204 0.511 0.409
0.796 0.489 0.591
0.296 0.102 0.591
0.250 0.000 0.000
0.750 0.000 0.000
0.421 0.650 0.842
0.579 0.350 0.158
0.079 0.808 0.158
0.921 0.192 0.842
```

Results
Energy of formation   -0.8 eV/f.u.
VASP energy   -74.95 eV/cell
Crystal system   orthorhombic
Space-group type   Ibam (72)
N(E_F)   12.6 states/eV/cell

# 6
A geometry-optimized Ca2ZnHg structure, computed with PBE.

```
Ca2ZnHg
1.0
6.360 0.013 0.021
3.105 5.551 -0.021
-4.169 -3.741 3.013
Zn Ca Hg
1 2 1
direct
0.727 0.227 0.500
0.974 0.974 0.000
0.270 0.770 0.500
0.529 0.529 0.000
```

Results
Energy of formation   -1.2 eV/f.u.
VASP energy   -6.78 eV/cell
Polymorph energy (0 for the lowest one)   92 meV per atom
Crystal system   orthorhombic
Space-group type   Imm2 (44)
N(E_F)   2.4 states/eV/cell